Below is crystalline CePrNi2 at its relaxed geometry, with properties calculated at the GGA-PBE level.

```
data_CePrNi2
_chemical_formula_sum 'Ce1 Pr1 Ni2'
_cell_length_a 3.473
_cell_length_b 3.473
_cell_length_c 6.914
_cell_angle_alpha 90.00
_cell_angle_beta 90.00
_cell_angle_gamma 90.00
_symmetry_space_group_name_H-M 'P 4/m m m'
_symmetry_Int_Tables_number 123
_symmetry_space_group_name_Hall '-P 4 2'
loop_
_atom_site_label
_atom_site_type_symbol
_atom_site_fract_x
_atom_site_fract_y
_atom_site_fract_z
Ce1 Ce 0.000 0.000 0.000
Pr1 Pr 0.000 0.000 0.500
Ni1 Ni 0.500 0.500 0.206
```

Summary:
The final energy comes out at -5.80 eV per atom. Its energy relative to the lowest polymorph listed for this composition is 70 meV/atom. The density of states at the Fermi level comes out at 1.397 states/eV per atom. The energy of formation is -0.940 eV per formula unit. Its magnetization is 0.00 μB per formula unit.


Below is crystalline Sr2CePt3O12 at its relaxed geometry, with properties calculated at the GGA-PBE level.

```
data_Sr2CePt3O12
_chemical_formula_sum 'Sr6 Ce3 Pt9 O36'
_cell_length_a 7.2091
_cell_length_b 7.2091
_cell_length_c 16.1859
_cell_angle_alpha 90.00
_cell_angle_beta 90.00
_cell_angle_gamma 120.00
_symmetry_space_group_name_H-M 'R -3 m'
_symmetry_Int_Tables_number 166
_symmetry_space_group_name_Hall '-R 3 2"'
loop_
_atom_site_label
_atom_site_type_symbol
_atom_site_fract_x
_atom_site_fract_y
_atom_site_fract_z
Sr1 Sr 0.0000 0.0000 0.1137
Ce1 Ce 0.0000 0.0000 0.5000
Pt1 Pt 0.0000 0.5000 0.0000
O1 O 0.0430 0.5215 0.8797
O2 O 0.0616 0.5308 0.2989
```

Summary:
The final energy comes out at -6.20 eV per atom. The density of states at the Fermi level comes out at 0.646 states/eV per atom. The value obtained for the energy relative to the elements, uncorrected is -1.3740 eV/atom. Its magnetization is 3.78 μB per formula unit.